No. 1
This record from Alexandria describes MgCuRe2 after structural relaxation. The functional is PBE.

Structure (CIF):
```
data_MgCuRe2
_symmetry_space_group_name_H-M 'P 1'
_symmetry_Int_Tables_number 1
_cell_length_a 9.256
_cell_length_b 9.256
_cell_length_c 9.256
_cell_angle_alpha 17.12
_cell_angle_beta 17.12
_cell_angle_gamma 17.12
loop_
_symmetry_equiv_pos_as_xyz
'x,y,z'
loop_
_atom_site_label
_atom_site_fract_x
_atom_site_fract_y
_atom_site_fract_z
_atom_site_occupancy
Mg1 0.000 0.000 0.000 1
Cu1 0.500 0.500 0.500 1
Re1 0.246 0.246 0.246 1
Re2 0.754 0.754 0.754 1
```

No. 2
# Mg2CuRe | Alexandria | PBE | relaxed
# Energy above the lowest structure with this stoichiometry   0.366 eV per atom
data_Mg2CuRe
_symmetry_space_group_name_H-M 'P 1'
_symmetry_Int_Tables_number 1
_cell_length_a 4.486
_cell_length_b 4.486
_cell_length_c 4.486
_cell_angle_alpha 60.00
_cell_angle_beta 60.00
_cell_angle_gamma 60.00
loop_
_symmetry_equiv_pos_as_xyz
'x,y,z'
loop_
_atom_site_label
_atom_site_fract_x
_atom_site_fract_y
_atom_site_fract_z
_atom_site_occupancy
Mg1 0.250 0.250 0.250 1
Mg2 0.750 0.750 0.750 1
Cu1 0.000 0.000 0.000 1
Re1 0.500 0.500 0.500 1

No. 3
This record from Alexandria describes MgCu2Re after structural relaxation. The functional is PBE.

Structure (CIF):
```
data_MgCu2Re
_symmetry_space_group_name_H-M 'P 1'
_symmetry_Int_Tables_number 1
_cell_length_a 5.160
_cell_length_b 5.160
_cell_length_c 4.803
_cell_angle_alpha 114.31
_cell_angle_beta 114.31
_cell_angle_gamma 29.05
loop_
_symmetry_equiv_pos_as_xyz
'x,y,z'
loop_
_atom_site_label
_atom_site_fract_x
_atom_site_fract_y
_atom_site_fract_z
_atom_site_occupancy
Mg1 0.000 0.000 0.000 1
Cu1 0.244 0.244 0.908 1
Cu2 0.507 0.507 0.492 1
Re1 0.761 0.761 0.426 1
```

No. 4
This record from Alexandria describes MgCuRe2 after structural relaxation. The functional is PBE.

Structure (CIF):
```
data_MgCuRe2
_symmetry_space_group_name_H-M 'P 1'
_symmetry_Int_Tables_number 1
_cell_length_a 2.630
_cell_length_b 4.403
_cell_length_c 5.160
_cell_angle_alpha 90.00
_cell_angle_beta 90.00
_cell_angle_gamma 90.00
loop_
_symmetry_equiv_pos_as_xyz
'x,y,z'
loop_
_atom_site_label
_atom_site_fract_x
_atom_site_fract_y
_atom_site_fract_z
_atom_site_occupancy
Mg1 0.000 0.000 0.000 1
Cu1 0.000 0.000 0.500 1
Re1 0.500 0.500 0.248 1
Re2 0.500 0.500 0.752 1
```

No. 5
This record from Alexandria describes MgCu2Re after structural relaxation. The functional is PBE.

Structure (CIF):
```
data_MgCu2Re
_symmetry_space_group_name_H-M 'P 1'
_symmetry_Int_Tables_number 1
_cell_length_a 3.984
_cell_length_b 3.984
_cell_length_c 3.515
_cell_angle_alpha 90.00
_cell_angle_beta 90.00
_cell_angle_gamma 90.00
loop_
_symmetry_equiv_pos_as_xyz
'x,y,z'
loop_
_atom_site_label
_atom_site_fract_x
_atom_site_fract_y
_atom_site_fract_z
_atom_site_occupancy
Mg1 0.000 0.000 0.000 1
Cu1 0.000 0.500 0.500 1
Cu2 0.500 0.000 0.500 1
Re1 0.500 0.500 0.000 1
```

No. 6
This record from Alexandria describes MgCuRe2 after structural relaxation. The functional is PBE.

Structure (CIF):
```
data_MgCuRe2
_symmetry_space_group_name_H-M 'P 1'
_symmetry_Int_Tables_number 1
_cell_length_a 2.689
_cell_length_b 4.404
_cell_length_c 5.150
_cell_angle_alpha 90.00
_cell_angle_beta 96.93
_cell_angle_gamma 90.00
loop_
_symmetry_equiv_pos_as_xyz
'x,y,z'
loop_
_atom_site_label
_atom_site_fract_x
_atom_site_fract_y
_atom_site_fract_z
_atom_site_occupancy
Mg1 0.000 0.000 0.000 1
Cu1 0.382 0.500 0.816 1
Re1 0.455 0.000 0.506 1
Re2 0.744 0.500 0.325 1
```

No. 7
This record from Alexandria describes MgCuRe2 after structural relaxation. The functional is PBE.

Structure (CIF):
```
data_MgCuRe2
_symmetry_space_group_name_H-M 'P 1'
_symmetry_Int_Tables_number 1
_cell_length_a 2.651
_cell_length_b 4.559
_cell_length_c 5.008
_cell_angle_alpha 90.00
_cell_angle_beta 99.29
_cell_angle_gamma 90.00
loop_
_symmetry_equiv_pos_as_xyz
'x,y,z'
loop_
_atom_site_label
_atom_site_fract_x
_atom_site_fract_y
_atom_site_fract_z
_atom_site_occupancy
Mg1 0.000 0.000 0.000 1
Cu1 0.500 0.000 0.500 1
Re1 0.302 0.500 0.752 1
Re2 0.698 0.500 0.248 1
```

No. 8
This record from Alexandria describes MgCuRe2 after structural relaxation. The functional is PBE.

Structure (CIF):
```
data_MgCuRe2
_symmetry_space_group_name_H-M 'P 1'
_symmetry_Int_Tables_number 1
_cell_length_a 5.129
_cell_length_b 5.129
_cell_length_c 5.129
_cell_angle_alpha 137.96
_cell_angle_beta 137.96
_cell_angle_gamma 60.97
loop_
_symmetry_equiv_pos_as_xyz
'x,y,z'
loop_
_atom_site_label
_atom_site_fract_x
_atom_site_fract_y
_atom_site_fract_z
_atom_site_occupancy
Mg1 0.000 0.000 0.000 1
Cu1 0.500 0.500 0.000 1
Re1 0.250 0.750 0.500 1
Re2 0.750 0.250 0.500 1
```

No. 9
This record from Alexandria describes MgCu2Re after structural relaxation. The functional is PBE.

Structure (CIF):
```
data_MgCu2Re
_symmetry_space_group_name_H-M 'P 1'
_symmetry_Int_Tables_number 1
_cell_length_a 4.828
_cell_length_b 4.828
_cell_length_c 4.828
_cell_angle_alpha 134.55
_cell_angle_beta 134.55
_cell_angle_gamma 66.23
loop_
_symmetry_equiv_pos_as_xyz
'x,y,z'
loop_
_atom_site_label
_atom_site_fract_x
_atom_site_fract_y
_atom_site_fract_z
_atom_site_occupancy
Mg1 0.000 0.000 0.000 1
Cu1 0.500 0.500 0.000 1
Cu2 0.750 0.250 0.500 1
Re1 0.250 0.750 0.500 1
```

No. 10
This record from Alexandria describes MgCuRe2 after structural relaxation. The functional is PBE.

Structure (CIF):
```
data_MgCuRe2
_symmetry_space_group_name_H-M 'P 1'
_symmetry_Int_Tables_number 1
_cell_length_a 6.989
_cell_length_b 6.989
_cell_length_c 6.989
_cell_angle_alpha 129.99
_cell_angle_beta 129.99
_cell_angle_gamma 73.42
loop_
_symmetry_equiv_pos_as_xyz
'x,y,z'
loop_
_atom_site_label
_atom_site_fract_x
_atom_site_fract_y
_atom_site_fract_z
_atom_site_occupancy
Mg1 0.000 0.000 0.000 1
Mg2 0.750 0.250 0.500 1
Cu1 0.250 0.750 0.500 1
Cu2 0.500 0.500 0.000 1
Re1 0.193 0.625 0.068 1
Re2 0.375 0.443 0.568 1
Re3 0.557 0.125 0.932 1
Re4 0.875 0.807 0.432 1
```

No. 11
This record from Alexandria describes MgCuRe2 after structural relaxation. The functional is PBE.

Structure (CIF):
```
data_MgCuRe2
_symmetry_space_group_name_H-M 'P 1'
_symmetry_Int_Tables_number 1
_cell_length_a 5.086
_cell_length_b 5.086
_cell_length_c 2.592
_cell_angle_alpha 90.00
_cell_angle_beta 90.00
_cell_angle_gamma 117.62
loop_
_symmetry_equiv_pos_as_xyz
'x,y,z'
loop_
_atom_site_label
_atom_site_fract_x
_atom_site_fract_y
_atom_site_fract_z
_atom_site_occupancy
Mg1 0.000 0.000 0.000 1
Cu1 0.500 0.500 0.000 1
Re1 0.000 0.500 0.500 1
Re2 0.500 0.000 0.500 1
```

No. 12
This record from Alexandria describes MgCu2Re after structural relaxation. The functional is PBE.

Structure (CIF):
```
data_MgCu2Re
_symmetry_space_group_name_H-M 'P 1'
_symmetry_Int_Tables_number 1
_cell_length_a 2.616
_cell_length_b 4.295
_cell_length_c 5.173
_cell_angle_alpha 90.00
_cell_angle_beta 104.37
_cell_angle_gamma 90.00
loop_
_symmetry_equiv_pos_as_xyz
'x,y,z'
loop_
_atom_site_label
_atom_site_fract_x
_atom_site_fract_y
_atom_site_fract_z
_atom_site_occupancy
Mg1 0.000 0.000 0.000 1
Cu1 0.261 0.000 0.512 1
Cu2 0.394 0.500 0.790 1
Re1 0.662 0.500 0.318 1
```

no.,electronic total energy (eV/atom),energy of formation (eV/f.u.),density of states at the Fermi level (states/eV/cell)
1,-7.2500,1.59,4.7
2,-4.4012,2.13,4.0
3,-5.3507,0.83,1.4
4,-7.2298,1.67,3.0
5,-5.2160,1.37,4.3
6,-7.4149,0.93,2.3
7,-7.3395,1.23,2.1
8,-7.2703,1.51,3.6
9,-5.0935,1.86,5.1
10,-4.9921,10.62,9.1
11,-7.2438,1.61,3.0
12,-5.3147,0.98,2.8